{
  "formula": "NdDy2OsN4",
  "functional": "PBE-GGA",
  "state": "relaxed",
  "dos_at_fermi_per_ev_fu": 2.7,
  "raw_formation_energy_ev_per_atom": -0.95,
  "sg": "Cmcm",
  "cell": [[3.4404, 0.0000, 0.0000], [-1.7202, 5.8642, 0.0000], [0.0000, 0.0000, 11.6830]],
  "species": ["Dy", "Os", "N", "Dy", "N", "N", "Nd", "N", "Dy", "N", "N", "N", "Os", "N", "Dy", "Nd"],
  "fractional_positions": [[0.3686, 0.7373, 0.5411], [0.8570, 0.7141, 0.7500], [0.4407, 0.8814, 0.7500], [0.3686, 0.7373, 0.9589], [0.7332, 0.4665, 0.8720], [0.0000, 0.0000, 0.5000], [0.8802, 0.7603, 0.2500], [0.7332, 0.4665, 0.6280], [0.6314, 0.2627, 0.4589], [0.2668, 0.5335, 0.3720], [0.2668, 0.5335, 0.1280], [0.0000, 0.0000, 0.0000], [0.1430, 0.2859, 0.2500], [0.5593, 0.1186, 0.2500], [0.6314, 0.2627, 0.0411], [0.1198, 0.2397, 0.7500]]
}

=====

{
  "formula": "Nd2DyP2N6",
  "functional": "PBE-GGA",
  "state": "relaxed",
  "dos_at_fermi_per_ev_fu": 3.0,
  "raw_formation_energy_ev_per_atom": -0.88,
  "sg": "P-3",
  "cell": [[-1.6551, -5.4909, -0.2209], [4.8394, 1.6455, -2.6096], [3.1157, -1.1426, 5.0575]],
  "species": ["Nd", "N", "N", "Nd", "P", "N", "P", "N", "Dy", "N", "N"],
  "fractional_positions": [[0.3333, 0.6667, 0.3474], [0.7141, 0.0852, 0.2370], [0.3711, 0.2859, 0.2370], [0.6667, 0.3333, 0.6526], [0.3333, 0.6667, 0.8218], [0.2859, 0.9148, 0.7630], [0.6667, 0.3333, 0.1782], [0.6289, 0.7141, 0.7630], [0.0000, 0.0000, 0.0000], [0.9148, 0.6289, 0.2370], [0.0852, 0.3711, 0.7630]]
}

=====

{
  "formula": "Nd2DyPaN4",
  "functional": "PBE-GGA",
  "state": "relaxed",
  "dos_at_fermi_per_ev_fu": 3.5,
  "raw_formation_energy_ev_per_atom": -1.58,
  "sg": "P2/m",
  "cell": [[3.5698, 0.0000, 0.0000], [0.0000, 6.1114, 0.1107], [0.0000, -2.1326, 5.8291]],
  "species": ["Dy", "N", "N", "N", "Nd", "N", "Nd", "Pa"],
  "fractional_positions": [[0.5000, 0.5000, 0.0000], [0.5000, 0.2311, 0.2194], [0.5000, 0.7689, 0.7806], [0.0000, 0.7559, 0.2234], [0.5000, 0.0000, 0.5000], [0.0000, 0.2441, 0.7766], [0.0000, 0.5000, 0.5000], [0.0000, 0.0000, 0.0000]]
}

=====

{
  "formula": "NdDyPaN3",
  "functional": "PBE-GGA",
  "state": "relaxed",
  "dos_at_fermi_per_ev_fu": 1.6,
  "raw_formation_energy_ev_per_atom": -1.47,
  "sg": "P2_1/m",
  "cell": [[3.5307, 0.0000, 0.0000], [0.0000, 6.0437, 0.2224], [0.0000, -2.2485, 8.8545]],
  "species": ["N", "N", "Pa", "Nd", "Dy", "Pa", "N", "Nd", "N", "Dy", "N", "N"],
  "fractional_positions": [[0.2500, 0.4533, 0.8550], [0.7500, 0.0341, 0.1386], [0.2500, 0.7650, 0.0459], [0.7500, 0.6553, 0.6897], [0.7500, 0.8550, 0.3634], [0.7500, 0.2350, 0.9541], [0.2500, 0.9659, 0.8614], [0.2500, 0.3447, 0.3103], [0.7500, 0.5467, 0.1450], [0.2500, 0.1450, 0.6366], [0.2500, 0.7545, 0.5065], [0.7500, 0.2455, 0.4935]]
}

=====

{
  "formula": "NdDy2PaN4",
  "functional": "PBE-GGA",
  "state": "relaxed",
  "dos_at_fermi_per_ev_fu": 3.6,
  "raw_formation_energy_ev_per_atom": -1.62,
  "sg": "P2/m",
  "cell": [[3.5331, 0.0000, 0.0000], [0.0000, 6.1108, 0.1284], [0.0000, -2.1159, 5.6805]],
  "species": ["N", "Dy", "N", "N", "N", "Nd", "Pa", "Dy"],
  "fractional_positions": [[0.5000, 0.2343, 0.2454], [0.5000, 0.0000, 0.5000], [0.0000, 0.7729, 0.2476], [0.5000, 0.7657, 0.7546], [0.0000, 0.2271, 0.7524], [0.5000, 0.5000, 0.0000], [0.0000, 0.0000, 0.0000], [0.0000, 0.5000, 0.5000]]
}

=====

{
  "formula": "Nd3DyPa2N6",
  "functional": "PBE-GGA",
  "state": "relaxed",
  "dos_at_fermi_per_ev_fu": 5.2,
  "raw_formation_energy_ev_per_atom": -1.59,
  "sg": "C2/m",
  "cell": [[-3.2140, -4.3962, 2.8685], [3.1393, -1.3264, -5.1255], [4.7386, 0.5690, 3.9845]],
  "species": ["Dy", "N", "Pa", "N", "N", "N", "N", "Nd", "Pa", "Nd", "N", "Nd"],
  "fractional_positions": [[0.0000, 0.0000, 0.0000], [0.7265, 0.7265, 0.2166], [0.6668, 0.3332, 0.0000], [0.4184, 0.0725, 0.2168], [0.5816, 0.9275, 0.7832], [0.2735, 0.2735, 0.7834], [0.9275, 0.5816, 0.7832], [0.5000, 0.5000, 0.5000], [0.3332, 0.6668, 0.0000], [0.8344, 0.1656, 0.5000], [0.0725, 0.4184, 0.2168], [0.1656, 0.8344, 0.5000]]
}